Cd3Ni3GeO8, optimized geometry, DFT PBE+U; crystal system = trigonal; space group = R-3m; calculated total energy = -72.10 eV/f.u.
1.0
-4.8704 2.2305 -3.0589
-0.8409 -3.4236 5.0625
2.3181 5.9796 0.6695
Ni Cd Ge O
3 3 1 8
Direct
0.5000 0.5000 0.5000 Ni
0.0000 0.5000 0.5000 Ni
0.5000 0.0000 0.5000 Ni
0.0000 0.0000 0.0000 Cd
0.0000 0.5000 0.0000 Cd
0.5000 0.5000 0.0000 Cd
0.0000 0.0000 0.5000 Ge
0.7814 0.5628 0.3009 O
0.7375 0.4751 0.7125 O
0.2186 0.9806 0.6992 O
0.7814 0.0194 0.3008 O
0.2625 0.5249 0.2875 O
0.7619 0.9806 0.6992 O
0.2186 0.4372 0.6991 O
0.2381 0.0194 0.3008 O